YMnRu | PBE | optimized geometry

Cell lengths 5.302, 5.302, 5.302 Å; angles 119.75, 119.54, 90.62 degrees
Atoms (fractional coordinates):
1 Y 0.373 0.123 0.250
2 Y 0.627 0.877 0.750
3 Mn 0.000 0.500 0.500
4 Mn 0.500 0.500 0.000
5 Ru 0.000 0.000 0.500
6 Ru 0.000 0.500 0.000

Output
Energy of formation from the pure elements in eV per atom: -0.186
Space group: Imma
Total moment in μB per cell: 5.2
Energy above the lowest structure with this stoichiometry in eV per atom: 0.000